Below is CeGdPa after structural relaxation, with properties calculated at the PBE-GGA level.

POSCAR file:
```
CeGdPa
1.0
-2.2182 1.7032 1.7211
0.5003 -1.9614 2.5858
6.4295 4.8525 0.3517
Gd Pa Ce
1 1 1
direct
0.9911 0.9911 0.9821
0.3310 0.3310 0.6620
0.6779 0.6779 0.3558
```

Summary:
Calculated total energy, eV for the cell shown: -29.1
Energy relative to the lowest polymorph listed for this composition, meV per atom: 0.0
Formation energy, meV/atom: 125
Total magnetization, μB/cell: 7.0

***

Below is Mg2NiSb after structural relaxation, with properties calculated at the PBE-GGA level.

POSCAR file:
```
Mg2NiSb
1.0
-0.5749 -3.7064 1.8085
-1.4771 -1.2171 -2.9640
4.0444 -2.2064 -3.2363
Mg Ni Sb
2 1 1
direct
0.0000 0.9492 0.9762
0.5000 0.2862 0.3046
0.0000 0.7005 0.4724
0.5000 0.5642 0.7468
```

Summary:
Calculated total energy, eV for the cell shown: -13.7
Uncorrected formation energy, eV/atom: -0.144
Total magnetization, μB/cell: 0.0

***

Below is TbCe2Se4 after structural relaxation, with properties calculated at the PBE-GGA level.

POSCAR file:
```
TbCe2Se4
1.0
7.1843 0.0000 4.1409
2.4640 6.8232 4.0277
0.0029 0.0108 8.2976
Tb Ce Se
2 4 8
direct
0.5000 0.5000 0.0000
0.0000 0.5000 0.0000
0.0000 0.0000 0.0000
0.0000 0.0000 0.5000
0.0000 0.5000 0.5000
0.5000 0.0000 0.5000
0.2562 0.2504 0.2372
0.7438 0.2628 0.2496
0.2562 0.7372 0.7504
0.7438 0.7496 0.7628
0.7552 0.7467 0.2467
0.7487 0.2533 0.7533
0.2513 0.7467 0.2467
0.2448 0.2533 0.7533
```

Summary:
Calculated total energy, eV for the cell shown: -86.1
Energy relative to the lowest polymorph listed for this composition, meV per atom: 0.0
Uncorrected formation energy, eV/atom: -1.803
Total magnetization, μB/cell: 4.3

***

Below is La3GaRh after structural relaxation, with properties calculated at the PBE-GGA level.

POSCAR file:
```
La3GaRh
1.0
5.4989 0.0000 0.0000
0.0000 5.4989 0.0000
0.0000 0.0000 5.4989
Rh Ga La
1 1 3
direct
0.0000 0.0000 0.0000
0.5000 0.5000 0.5000
0.0000 0.5000 0.0000
0.0000 0.0000 0.5000
0.5000 0.0000 0.0000
```

Summary:
Calculated total energy, eV for the cell shown: -26.8
Energy relative to the lowest polymorph listed for this composition, meV per atom: 217.7
Formation energy, meV/atom: -319
Total magnetization, μB/cell: 0.0

***

Below is HfScN2O after structural relaxation, with properties calculated at the PBE-GGA level.

POSCAR file:
```
HfScN2O
1.0
4.1222 0.0000 0.0000
0.0000 4.1222 0.0000
0.0000 0.0000 4.0101
Sc Hf O N
1 1 1 2
direct
0.5000 0.5000 0.5000
0.0000 0.0000 0.0000
0.0000 0.0000 0.5000
0.0000 0.5000 0.0000
0.5000 0.0000 0.0000
```

Summary:
Calculated total energy, eV for the cell shown: -43.7
Uncorrected formation energy, eV/atom: -1.171
Total magnetization, μB/cell: 0.0

***

Below is La2AgGe3Pd4 after structural relaxation, with properties calculated at the PBE-GGA level.

POSCAR file:
```
La2AgGe3Pd4
1.0
-0.9837 -0.8954 -4.1767
-1.8404 -3.7790 1.2436
-9.2401 4.8724 1.1317
La Ag Ge Pd
2 1 3 4
direct
0.5000 0.0000 0.2523
0.0000 0.5000 0.7477
0.5000 0.5000 0.5000
0.0000 0.0000 0.5000
0.5000 0.0000 0.8774
0.0000 0.5000 0.1226
0.5000 0.5000 0.0000
0.0000 0.0000 0.0000
0.5000 0.0000 0.6439
0.0000 0.5000 0.3561
```

Summary:
Calculated total energy, eV for the cell shown: -54.8
Formation energy, meV/atom: -749
Total magnetization, μB/cell: 0.0

***

Below is Na3NpMn2Se6 after structural relaxation, with properties calculated at the PBE-GGA level.

POSCAR file:
```
Na3NpMn2Se6
1.0
6.8184 0.0090 0.0002
-3.3997 5.9104 0.0002
-1.1419 -1.9773 6.9830
Na Np Mn Se
3 1 2 6
direct
0.1630 0.8370 0.5000
0.8370 0.1630 0.5000
0.5000 0.5000 0.5000
0.0000 0.0000 0.0000
0.3325 0.6675 0.0000
0.6675 0.3325 0.0000
0.9286 0.5809 0.7833
0.7236 0.7236 0.2147
0.0714 0.4191 0.2167
0.5809 0.9286 0.7833
0.2764 0.2764 0.7853
0.4191 0.0714 0.2167
```

Summary:
Calculated total energy, eV for the cell shown: -67.0
Uncorrected formation energy, eV/atom: -0.903
Total magnetization, μB/cell: 12.0

***

Below is Ce2Ni2BRh4 after structural relaxation, with properties calculated at the PBE-GGA level.

POSCAR file:
```
Ce2Ni2BRh4
1.0
5.7372 -0.0014 -0.0020
-2.7551 5.0323 0.0020
-2.7551 -1.7662 4.7122
Ce Ni B Rh
2 2 1 4
direct
0.5000 0.7500 0.2500
0.5000 0.2500 0.7500
0.0000 0.7446 0.7446
0.0000 0.2554 0.2554
0.0000 0.0000 0.0000
0.0000 0.7436 0.2564
0.4872 0.7436 0.7436
0.0000 0.2564 0.7436
0.5128 0.2564 0.2564
```

Summary:
Calculated total energy, eV for the cell shown: -65.9
Formation energy, meV/atom: -705
Total magnetization, μB/cell: 0.0